# AcTbCdSi (PBE-GGA, relaxed)
data_AcTbCdSi
_cell_length_a 5.370
_cell_length_b 5.370
_cell_length_c 5.370
_cell_angle_alpha 60.00
_cell_angle_beta 60.00
_cell_angle_gamma 60.00
_space_group_name_H-M_alt 'P 1'
_space_group_IT_number 1
loop_
_space_group_symop_operation_xyz
'x,y,z'
loop_
_atom_site_label
_atom_site_type_symbol
_atom_site_fract_x
_atom_site_fract_y
_atom_site_fract_z
_atom_site_occupancy
Tb1 Tb 0.250 0.250 0.250 1
Ac1 Ac 0.750 0.750 0.750 1
Cd1 Cd 0.500 0.500 0.500 1
Si1 Si 0.000 0.000 0.000 1
# D(E_F) (states/eV/atom): 0.673
# ΔE_f (raw) (eV per atom): -0.30